The following is a PBE-GGA calculation of a geometry-optimized NdSO4F2 structure, from Alexandria via LeMat-Bulk.

a = 5.451 Å, b = 7.577 Å, c = 6.006 Å
α = 90.00°, β = 90.00°, γ = 90.00°
Last column: magnetic moment on the atom in μB.
Positions (direct):
Nd (0.132, 0.375, 0.500)  0.00
Nd (0.632, 0.625, 0.000)  0.00
O (0.270, 0.041, 0.000)  0.34
O (0.770, 0.959, 0.500)  0.34
O (0.940, 0.183, 0.801)  0.22
O (0.364, 0.091, 0.500)  0.10
O (0.864, 0.909, 0.000)  0.10
O (0.940, 0.183, 0.199)  0.22
O (0.440, 0.817, 0.301)  0.22
O (0.440, 0.817, 0.699)  0.22
F (0.426, 0.444, 0.755)  0.00
F (0.926, 0.556, 0.745)  0.00
F (0.926, 0.556, 0.255)  0.00
F (0.426, 0.444, 0.245)  0.00
S (0.002, 0.074, 0.000)  -0.02
S (0.502, 0.926, 0.500)  -0.02

Calculated values
The space group is No. 31. Its uncorrected formation energy is -2.266 eV/atom. The calculation puts the total magnetic moment at 1.01 μB per formula unit.

The following is a PBE-GGA calculation of a geometry-optimized Sc2Tc structure, from Alexandria via LeMat-Bulk.

a = 5.636 Å, b = 5.446 Å, c = 5.446 Å
α = 105.53°, β = 121.16°, γ = 58.84°
Positions (direct):
Tc (0.750, 0.000, 0.000)
Tc (0.250, 0.000, 0.000)
Sc (0.673, 0.500, 0.846)
Sc (0.327, 0.500, 0.154)
Sc (0.827, 0.846, 0.500)
Sc (0.173, 0.154, 0.500)

Calculated values
The space group is No. 140. The calculation puts the excess energy over the best structure of this formula in the dataset at 54 meV/atom. For the energy relative to the elements, the calculation gives -0.16 eV per atom. The calculation puts the total magnetic moment at 0.00 μB per formula unit.

The following is a PBE-GGA calculation of a geometry-optimized LiTb2CeSe4 structure, from Alexandria via LeMat-Bulk.

a = 4.098 Å, b = 7.108 Å, c = 7.143 Å
α = 109.30°, β = 90.00°, γ = 90.00°
Last column: magnetic moment on the atom in μB.
Positions (direct):
Tb (0.500, 0.000, 0.500)  0.02
Tb (0.000, 0.500, 0.500)  0.08
Se (0.500, 0.757, 0.751)  0.00
Se (0.500, 0.243, 0.249)  0.00
Se (0.000, 0.240, 0.748)  -0.01
Se (0.000, 0.760, 0.252)  -0.01
Li (0.000, 0.000, 0.000)  0.00
Ce (0.500, 0.500, 0.000)  0.90

Calculated values
The space group is No. 10. Its uncorrected formation energy is -1.744 eV/atom. The calculation puts the total magnetic moment at 1.20 μB per formula unit.

The following is a PBE-GGA calculation of a geometry-optimized LiOs2Se structure, from Alexandria via LeMat-Bulk.

a = 5.300 Å, b = 5.300 Å, c = 5.300 Å
α = 148.10°, β = 130.60°, γ = 60.02°
Positions (direct):
Li (0.260, 0.760, 0.500)
Os (0.743, 0.243, 0.500)
Os (0.978, 0.978, 0.000)
Se (0.519, 0.519, 0.000)

Calculated values
The space group is No. 44. Its uncorrected formation energy is 0.487 eV/atom. The calculation puts the total magnetic moment at 0.00 μB per formula unit.